A plane-wave DFT calculation with PBE+U was carried out for a relaxed structure of La3CoCu2O9.

```
La3CoCu2O9
1.0
5.449 0.000 0.000
-2.725 4.719 0.000
0.000 0.000 6.686
La Co Cu O
3 1 2 9
Direct
0.000 0.000 0.000 La
0.333 0.667 0.658 La
0.667 0.333 0.342 La
0.000 0.000 0.500 Co
0.333 0.667 0.165 Cu
0.667 0.333 0.835 Cu
0.000 0.500 0.000 O
0.165 0.329 0.338 O
0.165 0.835 0.338 O
0.329 0.165 0.662 O
0.500 0.000 0.000 O
0.500 0.500 0.000 O
0.671 0.835 0.338 O
0.835 0.165 0.662 O
0.835 0.671 0.662 O
```

As for the total magnetic moment: 0.4 μB/f.u. The value obtained for the density of states at the Fermi level is 0.487 states/eV per atom. As for the space group: P-3m1 (164). The calculation puts the energy at -6.865 eV/atom.